# MgIn2Pt8

A geometry-optimized MgIn2Pt8 structure (PBE-GGA, Alexandria via LeMat-Bulk).

Lattice parameters (Å, degrees): 3.915 8.078 7.482 122.67 105.17 90.00
Fractional positions:
Mg: 0.500 0.000 0.000
In: 0.147 0.647 0.294
In: 0.853 0.353 0.706
Pt: 0.666 0.918 0.332
Pt: 0.334 0.586 0.668
Pt: 0.170 0.170 0.341
Pt: 0.000 0.237 0.000
Pt: 0.830 0.830 0.659
Pt: 0.666 0.414 0.332
Pt: 0.334 0.082 0.668
Pt: 0.000 0.763 0.000

Values from the calculation:
**Formation energy from the elements**: -0.41 eV/atom
**VASP energy**: -59.908 eV/cell
**M_tot**: 0.0 μB/cell
**Symmetry**: Immm (71)